Here is a relaxed VCuPtRh crystal from Alexandria via LeMat-Bulk. Energies are from PBE-GGA.

Results
Electronic total energy ... -27.7 eV/cell
M_tot ... 0.727 μB per formula unit
Fermi-level density of states ... 1.027 states/eV/atom

abc: 4.2792 4.2792 4.2792
angles: 60.00 60.00 60.00
Last column: nearest neighbours and their distance in Å.
Positions (direct):
V1 0.0000 0.0000 0.0000  4 Rh 2.62, 4 Pt 2.62
Cu1 0.5000 0.5000 0.5000  4 Rh 2.62, 4 Pt 2.62
Pt1 0.2500 0.2500 0.2500  4 Cu 2.62, 4 V 2.62
Rh1 0.7500 0.7500 0.7500  4 Cu 2.62, 4 V 2.62